Here is a PBEsol-optimized structure of ZrMoWO8 from Alexandria via LeMat-Bulk. Energies are from SCAN.

Cell and atoms, written as POSCAR:
```
ZrMoWO8
1.0
8.197 -0.057 -0.045
2.377 7.845 -0.045
2.377 1.751 7.647
Zr Mo W O
3 3 3 24
direct
0.002 0.002 0.002 Zr
0.291 0.291 0.291 Zr
0.707 0.707 0.707 Zr
0.574 0.861 0.261 Mo
0.861 0.261 0.574 Mo
0.261 0.574 0.861 Mo
0.431 0.139 0.735 W
0.139 0.735 0.431 W
0.735 0.431 0.139 W
0.443 0.315 0.812 O
0.315 0.812 0.443 O
0.812 0.443 0.315 O
0.559 0.686 0.188 O
0.686 0.188 0.559 O
0.188 0.559 0.686 O
0.370 0.193 0.528 O
0.193 0.528 0.370 O
0.528 0.370 0.193 O
0.631 0.807 0.466 O
0.807 0.466 0.631 O
0.466 0.631 0.807 O
0.581 0.930 0.795 O
0.930 0.795 0.581 O
0.795 0.581 0.930 O
0.423 0.065 0.206 O
0.065 0.206 0.423 O
0.206 0.423 0.065 O
0.230 0.087 0.879 O
0.087 0.879 0.230 O
0.879 0.230 0.087 O
0.771 0.912 0.119 O
0.912 0.119 0.771 O
0.119 0.771 0.912 O
```

Calculated values
E_form (uncorrected) ... -59.636 kcal/mol of atoms
DOS at the Fermi energy ... 0.000 states/eV per atom
Crystal system ... trigonal
Total DFT energy (no corrections) ... -19.415 eV/atom

Here is a PBEsol-optimized structure of K2CaAgTe from Alexandria via LeMat-Bulk. Energies are from SCAN.

Cell and atoms, written as POSCAR:
```
K2CaAgTe
1.0
-0.694 3.850 -3.549
-6.544 -0.958 0.240
-0.468 4.428 4.896
Ca Te K Ag
1 1 2 1
direct
0.000 0.000 0.000 Ca
0.500 0.500 0.500 Te
0.000 0.000 0.500 K
0.000 0.500 0.000 K
0.500 0.000 0.000 Ag
```

Calculated values
E_form (uncorrected) ... 6.297 kcal/mol of atoms
DOS at the Fermi energy ... 0.215 states/eV per atom
Crystal system ... tetragonal
Total DFT energy (no corrections) ... -18.715 eV/atom